# 1
First-principles (PBE-GGA) data for a relaxed structure of SiMo4Ru, as listed in the Alexandria database.

The structure in POSCAR format:
```
SiMo4Ru
1.0
0.000 3.638 3.638
3.638 0.000 3.638
3.638 3.638 0.000
Si Mo Ru
1 4 1
Cartesian
0.000 0.000 0.000 Si
4.557 2.719 2.719 Mo
2.719 4.557 2.719 Mo
2.719 2.719 4.557 Mo
4.557 4.557 4.557 Mo
1.819 1.819 1.819 Ru
```

Properties
Raw formation energy (eV per atom): 0.48
Energy (eV per atom): -9.19
N(E_F) (states/eV per atom): 0.968



# 2
First-principles (PBE-GGA) data for a relaxed structure of SiMo2Ru, as listed in the Alexandria database.

The structure in POSCAR format:
```
SiMo2Ru
1.0
2.505 -4.126 0.000
2.505 4.126 0.000
0.000 0.000 2.829
Si Mo Ru
1 2 1
Cartesian
0.000 0.000 0.000 Si
1.252 2.063 1.415 Mo
1.252 -2.063 1.415 Mo
2.505 0.000 0.000 Ru
```

Properties
Raw formation energy (eV per atom): -0.08
Energy (eV per atom): -9.17
N(E_F) (states/eV per atom): 0.618



# 3
First-principles (PBE-GGA) data for a relaxed structure of SiMo2Ru, as listed in the Alexandria database.

The structure in POSCAR format:
```
SiMo2Ru
1.0
1.405 0.811 8.642
-1.405 0.811 8.642
0.000 -1.622 8.642
Si Mo Ru
1 2 1
Cartesian
0.000 0.000 0.000 Si
0.000 0.000 6.504 Mo
0.000 0.000 19.422 Mo
0.000 0.000 12.963 Ru
```

Properties
Raw formation energy (eV per atom): 0.06
Energy (eV per atom): -9.03
N(E_F) (states/eV per atom): 1.617



# 4
First-principles (PBE-GGA) data for a relaxed structure of SiMo2Ru, as listed in the Alexandria database.

The structure in POSCAR format:
```
SiMo2Ru
1.0
-1.863 1.863 4.200
1.863 -1.863 4.200
1.863 1.863 -4.200
Si Mo Ru
1 2 1
Cartesian
0.000 0.000 0.000 Si
1.863 0.000 2.100 Mo
0.000 0.000 4.200 Mo
0.000 1.863 2.100 Ru
```

Properties
Raw formation energy (eV per atom): -0.08
Energy (eV per atom): -9.17
N(E_F) (states/eV per atom): 0.735



# 5
First-principles (PBE-GGA) data for a relaxed structure of SiMo2Ru, as listed in the Alexandria database.

The structure in POSCAR format:
```
SiMo2Ru
1.0
2.880 0.000 0.000
0.000 3.947 0.000
0.000 0.000 5.196
Si Mo Ru
1 2 1
Cartesian
0.000 0.000 0.000 Si
0.000 0.000 2.610 Mo
1.440 1.973 1.338 Mo
1.440 1.973 4.098 Ru
```

Properties
Raw formation energy (eV per atom): -0.06
Energy (eV per atom): -9.15
N(E_F) (states/eV per atom): 0.660



# 6
First-principles (PBE-GGA) data for a relaxed structure of SrSi2MoRu, as listed in the Alexandria database.

The structure in POSCAR format:
```
SrSi2MoRu
1.0
5.070 0.000 0.000
0.000 5.070 0.000
0.000 0.000 4.571
Sr Si Mo Ru
1 2 1 1
Cartesian
0.000 0.000 0.000 Sr
0.000 2.535 0.000 Si
2.535 0.000 0.000 Si
2.535 2.535 2.286 Mo
0.000 0.000 2.286 Ru
```

Properties
Raw formation energy (eV per atom): 2.69
Energy (eV per atom): -3.84
N(E_F) (states/eV per atom): 1.759



# 7
First-principles (PBE-GGA) data for a relaxed structure of TaSiMoRu2, as listed in the Alexandria database.

The structure in POSCAR format:
```
TaSiMoRu2
1.0
4.281 0.000 0.000
0.000 4.281 0.000
0.000 0.000 4.636
Ta Si Mo Ru
1 1 1 2
Cartesian
0.000 0.000 0.000 Ta
0.000 0.000 2.318 Si
2.140 2.140 0.000 Mo
0.000 2.140 2.318 Ru
2.140 0.000 2.318 Ru
```

Properties
Raw formation energy (eV per atom): 0.72
Energy (eV per atom): -8.61
N(E_F) (states/eV per atom): 0.730



# 8
First-principles (PBE-GGA) data for a relaxed structure of TiSiMoRu, as listed in the Alexandria database.

The structure in POSCAR format:
```
TiSiMoRu
1.0
0.000 3.050 3.050
3.050 0.000 3.050
3.050 3.050 0.000
Ti Si Mo Ru
1 1 1 1
Cartesian
0.000 0.000 0.000 Ti
3.050 3.050 3.050 Si
4.575 4.575 4.575 Mo
1.525 1.525 1.525 Ru
```

Properties
Raw formation energy (eV per atom): -0.46
Energy (eV per atom): -8.82
N(E_F) (states/eV per atom): 1.180



# 9
First-principles (PBE-GGA) data for a relaxed structure of TmSi2MoRu, as listed in the Alexandria database.

The structure in POSCAR format:
```
TmSi2MoRu
1.0
-2.045 2.045 5.129
2.045 -2.045 5.129
2.045 2.045 -5.129
Tm Si Mo Ru
1 2 1 1
Cartesian
0.000 0.000 0.000 Tm
0.000 0.000 3.926 Si
0.000 0.000 6.332 Si
0.000 2.045 2.564 Mo
2.045 0.000 2.564 Ru
```

Properties
Raw formation energy (eV per atom): -0.59
Energy (eV per atom): -7.67
N(E_F) (states/eV per atom): 0.822



# 10
First-principles (PBE-GGA) data for a relaxed structure of SiMoRuW, as listed in the Alexandria database.

The structure in POSCAR format:
```
SiMoRuW
1.0
0.000 3.074 3.074
3.074 0.000 3.074
3.074 3.074 0.000
Si Mo Ru W
1 1 1 1
Cartesian
0.000 0.000 0.000 Si
4.611 4.611 4.611 Mo
1.537 1.537 1.537 Ru
3.074 3.074 3.074 W
```

Properties
Raw formation energy (eV per atom): -0.13
Energy (eV per atom): -9.75
N(E_F) (states/eV per atom): 0.774



# 11
First-principles (PBE-GGA) data for a relaxed structure of SmMoRu, as listed in the Alexandria database.

The structure in POSCAR format:
```
SmMoRu
1.0
3.300 0.000 0.000
0.000 4.426 0.000
0.000 0.000 8.162
Sm Mo Ru
2 2 2
Cartesian
0.825 1.106 1.292 Sm
2.475 3.319 6.870 Sm
0.825 3.319 4.048 Mo
2.475 1.106 4.114 Mo
0.825 1.106 6.121 Ru
2.475 3.319 2.041 Ru
```

Properties
E_form (eV/atom): 0.01
Energy (eV per atom): -8.26
N(E_F) (states/eV per atom): 0.949



# 12
First-principles (PBE-GGA) data for a relaxed structure of SmMoRu2, as listed in the Alexandria database.

The structure in POSCAR format:
```
SmMoRu2
1.0
3.138 0.000 0.000
0.000 3.138 0.000
0.000 0.000 7.302
Sm Mo Ru
1 1 2
Cartesian
0.000 0.000 0.000 Sm
0.000 0.000 3.651 Mo
1.569 1.569 2.191 Ru
1.569 1.569 5.111 Ru
```

Properties
E_form (eV/atom): 0.02
Energy (eV per atom): -8.50
N(E_F) (states/eV per atom): 1.182



> What is the formula in the second record?

SiMo2Ru